(1)
# LiRhAu2 | the Alexandria database | PBE-GGA | relaxed
# - Calculated formation energy: -0.0863 eV/atom
# - Size of the total moment: 1.5 μB/cell
data_LiRhAu2
_chemical_formula_sum 'Li2 Rh2 Au4'
_cell_length_a 9.254
_cell_length_b 2.787
_cell_length_c 5.060
_cell_angle_alpha 90.00
_cell_angle_beta 98.30
_cell_angle_gamma 90.00
_symmetry_space_group_name_H-M 'C 1 2/m 1'
_symmetry_Int_Tables_number 12
loop_
_symmetry_equiv_pos_as_xyz
'x,y,z'
'-x,-y,-z'
'-x,y,-z'
'x,-y,z'
'x+1/2,y+1/2,z'
'-x+1/2,-y+1/2,-z'
'-x+1/2,y+1/2,-z'
'x+1/2,-y+1/2,z'
loop_
_atom_site_label
_atom_site_fract_x
_atom_site_fract_y
_atom_site_fract_z
Li1 0.000 0.000 0.000
Rh1 0.000 0.500 0.500
Au1 0.246 0.000 0.752

(2)
# LiHfAl | the Alexandria database | PBE-GGA | relaxed
# - Calculated formation energy: -0.1159 eV/atom
# - Size of the total moment: 0.0 μB/cell
# - Relative energy among the computed polymorphs: 0.059 eV per atom
data_LiHfAl
_chemical_formula_sum 'Li2 Hf2 Al2'
_cell_length_a 4.827
_cell_length_b 3.184
_cell_length_c 7.834
_cell_angle_alpha 90.00
_cell_angle_beta 107.74
_cell_angle_gamma 90.00
_symmetry_space_group_name_H-M 'P 1 21/m 1'
_symmetry_Int_Tables_number 11
loop_
_symmetry_equiv_pos_as_xyz
'x,y,z'
'-x,-y,-z'
'-x,y+1/2,-z'
'x,-y+1/2,z'
loop_
_atom_site_label
_atom_site_fract_x
_atom_site_fract_y
_atom_site_fract_z
Li1 0.228 0.250 0.457
Hf1 0.419 0.750 0.837
Al1 0.073 0.750 0.148

(3)
# Mn2CuNi | the Alexandria database | PBE-GGA | relaxed
# - Calculated formation energy: 0.1350 eV/atom
# - Size of the total moment: 15.5 μB/cell
data_Mn2CuNi
_chemical_formula_sum 'Mn4 Cu2 Ni2'
_cell_length_a 8.827
_cell_length_b 2.755
_cell_length_c 4.323
_cell_angle_alpha 90.00
_cell_angle_beta 103.84
_cell_angle_gamma 90.00
_symmetry_space_group_name_H-M 'C 1 m 1'
_symmetry_Int_Tables_number 8
loop_
_symmetry_equiv_pos_as_xyz
'x,y,z'
'x,-y,z'
'x+1/2,y+1/2,z'
'x+1/2,-y+1/2,z'
loop_
_atom_site_label
_atom_site_fract_x
_atom_site_fract_y
_atom_site_fract_z
Mn1 0.000 0.000 0.000
Mn2 0.236 0.000 0.687
Cu1 0.251 0.500 0.203
Ni1 0.491 0.000 0.492